Record 1
Computed, not measured: crystalline Cr2MoPt at its relaxed geometry at the PBE-GGA level of DFT.

Summary:
Its total magnetic moment is 0.00 μB per cell.

a = 2.622 Å, b = 2.622 Å, c = 8.114 Å
α = 90.00°, β = 90.00°, γ = 90.00°
Atoms (fractional coordinates):
Cr (0.000, 0.000, 0.509)
Mo (0.500, 0.500, 0.250)
Cr (0.000, 0.000, 0.991)
Pt (0.500, 0.500, 0.750)


Record 2
Computed, not measured: crystalline ErTmTcPt at its relaxed geometry at the PBE-GGA level of DFT.

Summary:
Its total magnetic moment is 0.00 μB per cell.

a = 4.818 Å, b = 4.818 Å, c = 4.818 Å
α = 60.00°, β = 60.00°, γ = 60.00°
Atoms (fractional coordinates):
Tm (0.500, 0.500, 0.500)
Pt (0.750, 0.750, 0.750)
Er (0.000, 0.000, 0.000)
Tc (0.250, 0.250, 0.250)


Record 3
Computed, not measured: crystalline Tl8Ge5O14 at its relaxed geometry at the PBE-GGA level of DFT.

Summary:
Its total magnetic moment is 0.00 μB per cell.

a = 14.933 Å, b = 14.933 Å, c = 14.933 Å
α = 38.04°, β = 38.04°, γ = 38.04°
Atoms (fractional coordinates):
Ge (0.980, 0.250, 0.520)
O (0.338, 0.338, 0.338)
O (0.313, 0.053, 0.924)
O (0.553, 0.813, 0.424)
Tl (0.821, 0.659, 0.121)
O (0.687, 0.947, 0.076)
O (0.020, 0.291, 0.343)
O (0.662, 0.662, 0.662)
Ge (0.480, 0.020, 0.750)
O (0.924, 0.313, 0.053)
O (0.447, 0.187, 0.576)
O (0.947, 0.076, 0.687)
Tl (0.879, 0.179, 0.341)
Tl (0.379, 0.841, 0.679)
Tl (0.445, 0.445, 0.445)
Tl (0.945, 0.945, 0.945)
Tl (0.179, 0.341, 0.879)
Tl (0.159, 0.321, 0.621)
O (0.209, 0.480, 0.157)
Ge (0.204, 0.204, 0.204)
O (0.157, 0.209, 0.480)
O (0.709, 0.657, 0.980)
Tl (0.659, 0.121, 0.821)
O (0.657, 0.980, 0.709)
Tl (0.321, 0.621, 0.159)
O (0.424, 0.553, 0.813)
O (0.838, 0.838, 0.838)
O (0.980, 0.709, 0.657)
Tl (0.621, 0.159, 0.321)
Tl (0.341, 0.879, 0.179)
O (0.343, 0.020, 0.291)
O (0.520, 0.843, 0.791)
Tl (0.679, 0.379, 0.841)
O (0.291, 0.343, 0.020)
Ge (0.750, 0.480, 0.020)
Ge (0.704, 0.704, 0.704)
O (0.843, 0.791, 0.520)
Tl (0.841, 0.679, 0.379)
Ge (0.250, 0.520, 0.980)
O (0.480, 0.157, 0.209)
Ge (0.296, 0.296, 0.296)
Ge (0.520, 0.980, 0.250)
Tl (0.555, 0.555, 0.555)
O (0.053, 0.924, 0.313)
O (0.576, 0.447, 0.187)
O (0.813, 0.424, 0.553)
Tl (0.055, 0.055, 0.055)
Ge (0.796, 0.796, 0.796)
O (0.791, 0.520, 0.843)
O (0.162, 0.162, 0.162)
O (0.187, 0.576, 0.447)
O (0.076, 0.687, 0.947)
Tl (0.121, 0.821, 0.659)
Ge (0.020, 0.750, 0.480)


Record 4
Computed, not measured: crystalline Sr3Zn2Pb4 at its relaxed geometry at the PBE-GGA level of DFT.

Summary:
Its total magnetic moment is 0.00 μB per cell.

a = 4.877 Å, b = 6.647 Å, c = 10.392 Å
α = 62.13°, β = 76.43°, γ = 68.48°
Atoms (fractional coordinates):
Pb (0.701, 0.677, 0.920)
Sr (0.000, 0.000, 0.000)
Pb (0.082, 0.220, 0.616)
Sr (0.621, 0.455, 0.303)
Sr (0.379, 0.545, 0.697)
Pb (0.299, 0.323, 0.080)
Pb (0.918, 0.780, 0.384)
Zn (0.291, 0.029, 0.389)
Zn (0.709, 0.971, 0.611)


Record 5
Computed, not measured: crystalline NpCo2P2 at its relaxed geometry at the PBE-GGA level of DFT.

Summary:
Its total magnetic moment is 7.13 μB per cell.

a = 3.925 Å, b = 3.925 Å, c = 8.983 Å
α = 90.00°, β = 90.00°, γ = 90.00°
Last column: magnetic moment on the atom in μB.
Atoms (fractional coordinates):
Co (0.500, 0.000, 0.614)  -0.12
Co (0.500, 0.500, 0.000)  0.47
Np (0.500, 0.000, 0.253)  3.18
P (0.500, 0.500, 0.500)  -0.03
P (0.000, 0.500, 0.135)  -0.02
Co (0.000, 0.500, 0.386)  -0.12
Np (0.000, 0.500, 0.747)  3.18
P (0.000, 0.000, 0.500)  -0.03
P (0.500, 0.000, 0.865)  -0.02
Co (0.000, 0.000, 0.000)  0.47


Record 6
Computed, not measured: crystalline BeTc2Hg at its relaxed geometry at the PBE-GGA level of DFT.

Summary:
The value obtained for the excess energy over the best structure of this formula in the dataset is 324 meV/atom. Its total magnetic moment is 0.00 μB per cell.

a = 4.633 Å, b = 4.633 Å, c = 4.633 Å
α = 128.65°, β = 128.65°, γ = 75.58°
Atoms (fractional coordinates):
Tc (0.000, 0.000, 0.000)
Tc (0.250, 0.750, 0.500)
Hg (0.750, 0.250, 0.500)
Be (0.500, 0.500, 0.000)


Record 7
Computed, not measured: crystalline Cd2PdC at its relaxed geometry at the PBE-GGA level of DFT.

Summary:
Its total magnetic moment is 0.00 μB per cell.

a = 8.749 Å, b = 8.749 Å, c = 6.504 Å
α = 47.74°, β = 47.74°, γ = 90.00°
Atoms (fractional coordinates):
Cd (0.270, 0.625, 0.250)
Cd (0.375, 0.520, 0.750)
C (0.500, 0.500, 0.000)
C (0.250, 0.750, 0.500)
Pd (0.000, 0.000, 0.000)
Pd (0.750, 0.250, 0.500)
Cd (0.480, 0.125, 0.250)
Cd (0.875, 0.730, 0.750)


Record 8
Computed, not measured: crystalline SnGeI2N at its relaxed geometry at the PBE-GGA level of DFT.

Summary:
The value obtained for the excess energy over the best structure of this formula in the dataset is 0 meV/atom. Its total magnetic moment is 0.00 μB per cell.

a = 6.129 Å, b = 6.129 Å, c = 3.622 Å
α = 90.00°, β = 90.00°, γ = 90.00°
Atoms (fractional coordinates):
I (0.000, 0.500, 0.000)
I (0.500, 0.000, 0.000)
Ge (0.000, 0.000, 0.000)
Sn (0.500, 0.500, 0.500)
N (0.000, 0.000, 0.500)


Record 9
Computed, not measured: crystalline AgB at its relaxed geometry at the PBE-GGA level of DFT.

Summary:
The value obtained for the excess energy over the best structure of this formula in the dataset is 398 meV/atom. Its total magnetic moment is 0.00 μB per cell.

a = 6.551 Å, b = 6.551 Å, c = 6.551 Å
α = 90.00°, β = 90.00°, γ = 90.00°
Atoms (fractional coordinates):
B (0.095, 0.095, 0.095)
B (0.595, 0.595, 0.595)
Ag (0.282, 0.282, 0.282)
B (0.905, 0.905, 0.095)
Ag (0.282, 0.718, 0.718)
B (0.905, 0.095, 0.905)
B (0.595, 0.405, 0.405)
Ag (0.718, 0.718, 0.282)
Ag (0.218, 0.782, 0.218)
Ag (0.218, 0.218, 0.782)
Ag (0.718, 0.282, 0.718)
Ag (0.782, 0.218, 0.218)
B (0.405, 0.405, 0.595)
B (0.405, 0.595, 0.405)
B (0.095, 0.905, 0.905)
Ag (0.782, 0.782, 0.782)


Record 10
Computed, not measured: crystalline LiHf3Ta at its relaxed geometry at the PBE-GGA level of DFT.

Summary:
The value obtained for the excess energy over the best structure of this formula in the dataset is 71 meV/atom. Its total magnetic moment is 0.00 μB per cell.

a = 5.159 Å, b = 5.159 Å, c = 5.159 Å
α = 90.00°, β = 90.00°, γ = 90.00°
Atoms (fractional coordinates):
Li (0.500, 0.500, 0.500)
Hf (0.000, 0.000, 0.500)
Ta (0.000, 0.000, 0.000)
Hf (0.500, 0.000, 0.000)
Hf (0.000, 0.500, 0.000)


Record 11
Computed, not measured: crystalline AcPm2PuBi4 at its relaxed geometry at the PBE-GGA level of DFT.

Summary:
Its total magnetic moment is 5.12 μB per cell.

a = 4.652 Å, b = 8.074 Å, c = 8.048 Å
α = 70.60°, β = 90.00°, γ = 90.00°
Last column: magnetic moment on the atom in μB.
Atoms (fractional coordinates):
Ac (0.000, 0.500, 0.500)  -0.01
Bi (0.000, 0.753, 0.758)  -0.09
Pu (0.500, 0.500, 0.000)  5.33
Bi (0.000, 0.247, 0.242)  -0.09
Bi (0.500, 0.240, 0.762)  -0.05
Bi (0.500, 0.760, 0.238)  -0.05
Pm (0.500, 0.000, 0.500)  -0.03
Pm (0.000, 0.000, 0.000)  -0.01


Record 12
Computed, not measured: crystalline CdC3F at its relaxed geometry at the PBE-GGA level of DFT.

Summary:
The value obtained for the excess energy over the best structure of this formula in the dataset is 0 meV/atom. Its total magnetic moment is 0.00 μB per cell.

a = 3.898 Å, b = 3.898 Å, c = 3.898 Å
α = 90.00°, β = 90.00°, γ = 90.00°
Atoms (fractional coordinates):
C (0.000, 0.000, 0.500)
C (0.000, 0.500, 0.000)
Cd (0.500, 0.500, 0.500)
C (0.500, 0.000, 0.000)
F (0.000, 0.000, 0.000)


| no. | E_tot (eV per cell) |
| --- | --- |
| 1 | -35.66 |
| 2 | -27.91 |
| 3 | -292.94 |
| 4 | -25.93 |
| 5 | -83.49 |
| 6 | -22.92 |
| 7 | -27.22 |
| 8 | -17.79 |
| 9 | -63.83 |
| 10 | -38.36 |
| 11 | -49.68 |
| 12 | -15.27 |